Entry from Alexandria: Cd2AgRh at its PBEsol-relaxed geometry (SCAN).

Lattice parameters (Å, degrees): 5.3052 5.3052 4.7314 110.93 110.93 33.26
Last column: nearest neighbours and their distance in Å.
Positions (direct):
Cd  0.0000  0.0000  0.0000  3 Rh 2.77-2.87, 4 Ag 2.81-2.82, 5 Cd 3.02-3.04
Cd  0.2361  0.2361  0.6225  4 Rh 2.78-2.84, 3 Ag 2.82-2.85, 5 Cd 3.02-3.04
Ag  0.4829  0.4829  0.4852  7 Cd 2.81-2.85, 2 Rh 2.84, 2 Ag 3.04
Rh  0.7431  0.7431  0.1206  7 Cd 2.77-2.87, 2 Ag 2.84, 2 Rh 3.04

Output
VASP energy in eV/atom: -31.55
Crystal system: monoclinic
Formation energy in eV/atom: -0.056